A geometry-optimized Li2TaAu structure, computed with GGA-PBE.

Lattice parameters (Å, degrees): 7.1047 7.1047 5.3208 90.00 90.00 90.00
Fractional coordinates of all 16 atoms:
1 Li 0.2203 0.2500 0.1250
2 Li 0.2500 0.7203 0.3750
3 Li 0.2500 0.7797 0.8750
4 Li 0.2797 0.2500 0.6250
5 Li 0.7203 0.7500 0.6250
6 Li 0.7500 0.2203 0.8750
7 Li 0.7500 0.2797 0.3750
8 Li 0.7797 0.7500 0.1250
9 Ta 0.0000 0.0000 0.5000
10 Ta 0.0000 0.5000 0.7500
11 Ta 0.5000 0.0000 0.2500
12 Ta 0.5000 0.5000 0.0000
13 Au 0.0000 0.0000 0.0000
14 Au 0.0000 0.5000 0.2500
15 Au 0.5000 0.0000 0.7500
16 Au 0.5000 0.5000 0.5000

Calculated volume in Å³/f.u.: 67
Space group: I-42d
Energy above the lowest structure with this stoichiometry in kJ/mol of atoms: 47.3
E_tot in eV per atom: -4.24
Energy of formation in meV per atom: 499

A geometry-optimized Ni2TeBr structure, computed with GGA-PBE.

Lattice parameters (Å, degrees): 3.3908 3.7257 7.0573 90.00 90.00 90.00
Fractional coordinates of all 4 atoms:
1 Ni 0.0000 0.0000 0.0000
2 Ni 0.0000 0.5000 0.5000
3 Te 0.5000 0.0000 0.5000
4 Br 0.5000 0.5000 0.0000

Calculated volume in Å³/f.u.: 89
Formation energy without anion corrections in eV per atom: 0.377
Space group: Pmmm
Energy above the lowest structure with this stoichiometry in kJ/mol of atoms: 44.8
E_tot in eV per atom: -3.72

A geometry-optimized HgH12C2Br4N6 structure, computed with GGA-PBE.

Lattice parameters (Å, degrees): 7.6868 7.6868 13.7298 101.36 101.36 94.37
Fractional coordinates of all 50 atoms:
1 Hg 0.2175 0.7825 0.7500
2 Hg 0.7825 0.2175 0.2500
3 H 0.0132 0.7171 0.1024
4 H 0.1016 0.4745 0.1658
5 H 0.1542 0.8325 0.0445
6 H 0.1675 0.8458 0.4555
7 H 0.2271 0.5486 0.4407
8 H 0.2829 0.9868 0.3976
9 H 0.3150 0.4097 0.1675
10 H 0.4052 0.4769 0.3910
11 H 0.4097 0.3150 0.6675
12 H 0.4514 0.7729 0.0593
13 H 0.4745 0.1016 0.6658
14 H 0.4769 0.4052 0.8910
15 H 0.5231 0.5948 0.1090
16 H 0.5255 0.8984 0.3342
17 H 0.5486 0.2271 0.9407
18 H 0.5903 0.6850 0.3325
19 H 0.5948 0.5231 0.6090
20 H 0.6850 0.5903 0.8325
21 H 0.7171 0.0132 0.6024
22 H 0.7729 0.4514 0.5593
23 H 0.8325 0.1542 0.5445
24 H 0.8458 0.1675 0.9555
25 H 0.8984 0.5255 0.8342
26 H 0.9868 0.2829 0.8976
27 C 0.2583 0.6273 0.1033
28 C 0.3727 0.7417 0.3967
29 C 0.6273 0.2583 0.6033
30 C 0.7417 0.3727 0.8967
31 Br 0.0090 0.2336 0.4234
32 Br 0.1857 0.4424 0.7816
33 Br 0.2336 0.0090 0.9234
34 Br 0.4424 0.1857 0.2816
35 Br 0.5576 0.8143 0.7184
36 Br 0.7664 0.9910 0.0766
37 Br 0.8143 0.5576 0.2184
38 Br 0.9910 0.7664 0.5766
39 N 0.1322 0.7326 0.0815
40 N 0.2220 0.4900 0.1458
41 N 0.2674 0.8678 0.4185
42 N 0.3431 0.5821 0.4199
43 N 0.4179 0.6569 0.0801
44 N 0.4900 0.2220 0.6458
45 N 0.5100 0.7780 0.3542
46 N 0.5821 0.3431 0.9199
47 N 0.6569 0.4179 0.5801
48 N 0.7326 0.1322 0.5815
49 N 0.7780 0.5100 0.8542
50 N 0.8678 0.2674 0.9185

Calculated volume in Å³/f.u.: 387
Space group: C2/c
E_tot in eV per atom: -5.04

A geometry-optimized Pr3Zn2Cu structure, computed with GGA-PBE.

Lattice parameters (Å, degrees): 3.6961 3.6961 10.9915 90.00 90.00 90.00
Fractional coordinates of all 6 atoms:
1 Pr 0.0000 0.0000 0.0000
2 Pr 0.0000 0.0000 0.3370
3 Pr 0.0000 0.0000 0.6630
4 Zn 0.5000 0.5000 0.1660
5 Zn 0.5000 0.5000 0.8340
6 Cu 0.5000 0.5000 0.5000

Calculated volume in Å³/f.u.: 150
Space group: P4/mmm
Energy above the lowest structure with this stoichiometry in kJ/mol of atoms: 0.0
E_tot in eV per atom: -3.74
Energy of formation in meV per atom: -241

A geometry-optimized Ca2GaAg2 structure, computed with GGA-PBE.

Lattice parameters (Å, degrees): 8.4061 8.4061 3.7343 90.00 90.00 90.00
Fractional coordinates of all 10 atoms:
1 Ca 0.1688 0.3312 0.0000
2 Ca 0.3312 0.8312 0.0000
3 Ca 0.6688 0.1688 0.0000
4 Ca 0.8312 0.6688 0.0000
5 Ga 0.0000 0.0000 0.0000
6 Ga 0.5000 0.5000 0.0000
7 Ag 0.1234 0.6234 0.5000
8 Ag 0.3766 0.1234 0.5000
9 Ag 0.6234 0.8766 0.5000
10 Ag 0.8766 0.3766 0.5000

Calculated volume in Å³/f.u.: 132
Space group: P4/mbm
Energy above the lowest structure with this stoichiometry in kJ/mol of atoms: 22.4
E_tot in eV per atom: -2.66
Energy of formation in meV per atom: -118

A geometry-optimized HIBr2 structure, computed with GGA-PBE.

Lattice parameters (Å, degrees): 11.2418 4.6527 7.1845 90.00 122.71 90.00
Fractional coordinates of all 8 atoms:
1 H 0.0000 0.0000 0.0000
2 H 0.5000 0.5000 0.0000
3 I 0.3637 0.0000 0.1697
4 I 0.8637 0.5000 0.1697
5 Br 0.0370 0.0000 0.8363
6 Br 0.1315 0.5000 0.4350
7 Br 0.5370 0.5000 0.8363
8 Br 0.6315 0.0000 0.4350

Calculated volume in Å³/f.u.: 158
Space group: Cm
Energy above the lowest structure with this stoichiometry in kJ/mol of atoms: 0.0
E_tot in eV per atom: -2.15